This record from Alexandria via LeMat-Bulk describes an optimized crystal structure of MnCoSe. The functional is GGA-PBE.

Cell lengths 3.9774, 3.9774, 3.9774 Å; angles 60.00, 60.00, 60.00 degrees
With the nearest neighbours (Å) after each atom.
Element x y z (fractional)
Mn (0.0000, 0.0000, 0.0000)  4 Co 2.44
Co (0.2500, 0.2500, 0.2500)  4 Mn 2.44, 4 Se 2.44
Se (0.5000, 0.5000, 0.5000)  4 Co 2.44

## Properties
SG = F-43m, No. 216
uncorrected formation energy = -0.06 eV per atom
energy above the lowest structure with this stoichiometry = 0 meV per atom
final energy = -6.645 eV per atom